Compound: SbMoRh2
Source: Alexandria via LeMat-Bulk
Functional: PBE
Structure: optimized geometry

Summary:
Formation energy (no corrections) = 0.528 eV/atom

```
SbMoRh2
1.0
5.511 0.000 0.000
0.000 5.511 0.000
2.756 2.756 6.173
Sb Mo Rh
2 2 4
Direct
0.000 0.000 0.000
0.750 0.250 0.500
0.500 0.500 0.000
0.250 0.750 0.500
0.599 0.125 0.250
0.151 0.625 0.250
0.375 0.401 0.750
0.875 0.849 0.750
```

Compound: TaIrAu
Source: Alexandria via LeMat-Bulk
Functional: PBE
Structure: optimized geometry

Summary:
Energy relative to the lowest polymorph listed for this composition = 33.2 kJ/mol of formula units
Energy of formation from the pure elements = -0.21 eV per atom

```
TaIrAu
1.0
-0.035 2.551 -1.413
-3.133 3.218 2.877
4.328 3.981 4.070
Au Ta Ir
2 2 2
Direct
0.360 0.751 0.529
0.640 0.249 0.471
0.913 0.343 0.832
0.087 0.657 0.168
0.359 0.130 0.152
0.641 0.870 0.848
```

Compound: KTbGeTe3
Source: Alexandria via LeMat-Bulk
Functional: PBE
Structure: optimized geometry

Summary:
Formation energy (no corrections) = -0.945 eV/atom

```
KTbGeTe3
1.0
-1.290 3.655 -1.872
-2.157 -4.678 -7.646
-9.320 0.352 7.109
K Tb Ge Te
2 2 2 6
Direct
0.250 0.233 0.281
0.750 0.767 0.719
0.250 0.636 0.160
0.750 0.364 0.840
0.250 0.118 0.553
0.750 0.882 0.447
0.750 0.896 0.221
0.250 0.104 0.779
0.250 0.671 0.434
0.750 0.329 0.566
0.750 0.385 0.108
0.250 0.615 0.892
```

Compound: TaCuPt
Source: Alexandria via LeMat-Bulk
Functional: PBE
Structure: optimized geometry

Summary:
Energy relative to the lowest polymorph listed for this composition = 0.0 kJ/mol of formula units
Energy of formation from the pure elements = -0.42 eV per atom

```
TaCuPt
1.0
-0.156 -3.076 -3.635
4.024 -1.014 -2.341
-2.202 -0.016 4.226
Cu Pt Ta
1 1 1
Direct
0.001 0.001 0.000
0.665 0.665 0.000
0.334 0.334 0.000
```

Question: What is the formula in the fourth record?
Answer: TaCuPt

Question: Number 3 is which compound?
Answer: KTbGeTe3

Question: Number 2 is which compound?
Answer: TaIrAu